KMnHF6 | PBE with a Hubbard U | relaxed

abc: 5.170 5.079 5.280
angles: 84.24 88.44 68.80
Site moments in Bohr magnetons follow the coordinates.
Atoms (fractional coordinates):
F: 0.649 0.408 0.643  -0.03
Mn: 0.325 0.378 0.498  2.95
K: 0.910 0.949 0.025  0.00
H: 0.819 0.391 0.496  0.00
F: 0.258 0.210 0.800  0.03
F: 0.397 0.546 0.197  0.02
F: 0.998 0.358 0.350  -0.03
F: 0.537 0.036 0.398  0.04
F: 0.106 0.724 0.592  0.03

* theoretical density: 2.7 g/cm3
* calculated total energy: -0.176 hartree per atom
* DOS at the Fermi energy: 0.0 states/eV/f.u.
* magnetic moment: 3.09 Bohr magnetons per cell